Li3Ni5O12 | GGA+U | relaxed Values from VASP.

As for the density of states at the Fermi level: 41.68 states/eV/cell. The calculation puts the electronic total energy at -4.434 eV/atom.

Quantum ESPRESSO input file:
```
&SYSTEM
  ibrav = 0, nat = 80, ntyp = 3
/
ATOMIC_SPECIES
Li 6.94 Li.upf
Ni 58.69 Ni.upf
O 16.00 O.upf
CELL_PARAMETERS angstrom
10.226 0.000 0.000
-3.409 9.641 0.000
-3.409 -4.821 8.350
ATOMIC_POSITIONS crystal
Li 0.750 0.375 0.125
Li 0.125 0.250 0.875
Li 0.250 0.625 0.875
Li 0.625 0.250 0.375
Li 0.125 0.875 0.750
Li 0.875 0.750 0.125
Li 0.250 0.125 0.375
Li 0.375 0.750 0.625
Li 0.375 0.625 0.250
Li 0.750 0.875 0.625
Li 0.875 0.125 0.250
Li 0.625 0.375 0.750
Ni 0.125 0.750 0.375
Ni 0.625 0.750 0.875
Ni 0.750 0.125 0.875
Ni 0.875 0.625 0.750
Ni 0.500 0.500 0.000
Ni 0.000 0.500 0.500
Ni 0.250 0.875 0.125
Ni 0.250 0.375 0.625
Ni 0.375 0.125 0.750
Ni 0.750 0.625 0.375
Ni 0.000 0.000 0.500
Ni 0.500 0.000 0.000
Ni 0.625 0.875 0.250
Ni 0.000 0.500 0.000
Ni 0.000 0.000 0.000
Ni 0.500 0.000 0.500
Ni 0.375 0.250 0.125
Ni 0.125 0.375 0.250
Ni 0.875 0.250 0.625
Ni 0.500 0.500 0.500
O 0.973 0.375 0.302
O 0.573 0.875 0.401
O 0.473 0.802 0.875
O 0.698 0.573 0.171
O 0.171 0.099 0.973
O 0.027 0.401 0.829
O 0.573 0.698 0.671
O 0.073 0.171 0.198
O 0.802 0.329 0.927
O 0.198 0.527 0.625
O 0.401 0.027 0.329
O 0.698 0.125 0.027
O 0.375 0.401 0.073
O 0.329 0.802 0.427
O 0.973 0.599 0.171
O 0.625 0.599 0.927
O 0.401 0.375 0.573
O 0.875 0.573 0.901
O 0.198 0.671 0.073
O 0.599 0.973 0.671
O 0.073 0.901 0.375
O 0.927 0.099 0.625
O 0.527 0.198 0.125
O 0.099 0.171 0.473
O 0.625 0.027 0.198
O 0.125 0.427 0.099
O 0.527 0.329 0.901
O 0.329 0.527 0.401
O 0.099 0.927 0.125
O 0.901 0.829 0.527
O 0.302 0.875 0.973
O 0.427 0.302 0.329
O 0.027 0.625 0.698
O 0.802 0.473 0.375
O 0.171 0.073 0.698
O 0.375 0.973 0.802
O 0.473 0.671 0.099
O 0.901 0.073 0.875
O 0.875 0.302 0.473
O 0.427 0.125 0.599
O 0.671 0.198 0.573
O 0.829 0.901 0.027
O 0.829 0.927 0.302
O 0.302 0.427 0.829
O 0.125 0.698 0.527
O 0.599 0.625 0.427
O 0.927 0.829 0.802
O 0.671 0.473 0.599
```